This record from Alexandria via LeMat-Bulk describes crystalline PmMgCd4 at its relaxed geometry. The functional is GGA-PBE.

Computed properties:
- Crystal system: hexagonal
- Size of the total moment: 0.0 μB/cell
- Density of states at the Fermi level: 2.8 states/eV per cell
- Formation energy from the elements: -0.25 eV/atom
- Calculated density: 7.117 g/cm3
- Space group: P6/mmm
- Electronic total energy: -11.51 eV per formula unit

Lattice parameters (Å, degrees): 4.9417 4.9417 6.8286 90.00 90.00 120.00
Fractional coordinates of all 6 atoms:
Cd 0.3333 0.6667 0.2425
Cd 0.3333 0.6667 0.7575
Cd 0.6667 0.3333 0.7575
Cd 0.6667 0.3333 0.2425
Mg 0.0000 0.0000 0.0000
Pm 0.0000 0.0000 0.5000

This record from Alexandria via LeMat-Bulk describes crystalline Pm4MgCd at its relaxed geometry. The functional is GGA-PBE.

Computed properties:
- Crystal system: monoclinic
- Size of the total moment: 0.0 μB/cell
- Density of states at the Fermi level: 10.8 states/eV per cell
- Formation energy from the elements: 0.23 eV/atom
- Calculated density: 5.646 g/cm3
- Space group: Cm
- Electronic total energy: -20.14 eV per formula unit

Lattice parameters (Å, degrees): 5.1844 5.1868 7.8389 89.99 90.01 90.01
Fractional coordinates of all 6 atoms:
Pm 0.5012 0.9974 0.2556
Pm 0.0012 0.4976 0.2557
Pm 0.5012 0.9974 0.7409
Pm 0.0013 0.4976 0.7407
Mg 0.5017 0.4964 0.9978
Cd 0.0012 0.9974 0.4982